{
  "formula": "DyCr2MoO6",
  "functional": "PBE+U",
  "state": "relaxed",
  "dos_ef_per_ev_fu": 0.00,
  "energy_ha_per_atom": -0.2897,
  "lattice_angstrom": [[5.390, -0.003, 0.005], [2.697, 4.666, -0.002], [2.691, 1.559, 4.687]],
  "species": ["Dy", "Cr", "Cr", "Mo", "O", "O", "O", "O", "O", "O"],
  "fractional_positions": [[0.797, 0.797, 0.609], [0.520, 0.520, 0.441], [0.013, 0.013, 0.961], [0.314, 0.314, 0.059], [0.639, 0.237, 0.238], [0.237, 0.887, 0.238], [0.887, 0.639, 0.238], [0.368, 0.733, 0.744], [0.733, 0.155, 0.744], [0.156, 0.368, 0.744]]
}